A geometry-optimized NaReAgF6 structure. Source: the Alexandria database, functional GGA-PBE.

Output
* formation energy without anion corrections: -2013 meV per atom

a = 5.8532 Å, b = 5.8532 Å, c = 9.6549 Å
α = 90.00°, β = 90.00°, γ = 120.00°
Space group P-31c (No. 163)
Unique sites:
Na: 0.3333 0.6667 0.2500 [2 per cell]
Re: 0.3333 0.6667 0.7500 [2 per cell]
Ag: 0.0000 0.0000 0.0000 [2 per cell]
F: 0.0443 0.3846 0.6382 [12 per cell]